Density functional theory data (PBE) for a geometry-optimized CdTc structure.

a b c (Å): 4.566 4.566 4.696
angles (deg): 90.00 90.00 120.00
Positions (direct):
Tc 0.000 0.000 0.500
Tc 0.000 0.000 0.000
Cd 0.667 0.333 0.750
Cd 0.333 0.667 0.250

Output
formation energy from the elements = 91.11 kJ per mole of atoms
crystal system = hexagonal
excess energy over the best structure of this formula in the dataset = 832 meV/atom

=====

Density functional theory data (PBE) for a geometry-optimized Pd3Pt5 structure.

a b c (Å): 5.610 5.610 5.610
angles (deg): 59.81 59.81 59.81
Positions (direct):
Pt 0.500 0.500 0.500
Pt 0.500 0.000 0.000
Pt 0.000 0.000 0.500
Pt 0.000 0.500 0.000
Pt 0.000 0.000 0.000
Pd 0.500 0.500 0.000
Pd 0.000 0.500 0.500
Pd 0.500 0.000 0.500

Output
formation energy from the elements = -2.97 kJ per mole of atoms
crystal system = trigonal
excess energy over the best structure of this formula in the dataset = 6 meV/atom

=====

Density functional theory data (PBE) for a geometry-optimized Nd5SmTm2 structure.

a b c (Å): 5.123 7.244 14.490
angles (deg): 90.00 90.00 90.00
Positions (direct):
Nd 0.000 0.000 0.750
Nd 0.500 0.749 0.125
Nd 0.000 0.500 0.750
Nd 0.000 0.000 0.250
Nd 0.000 0.000 0.000
Nd 0.500 0.249 0.375
Nd 0.000 0.500 0.250
Nd 0.500 0.751 0.625
Nd 0.500 0.251 0.875
Nd 0.000 0.500 0.500
Tm 0.500 0.750 0.875
Tm 0.500 0.750 0.375
Tm 0.500 0.250 0.625
Tm 0.500 0.250 0.125
Sm 0.000 0.000 0.500
Sm 0.000 0.500 0.000

Output
formation energy from the elements = 1.26 kJ per mole of atoms
crystal system = orthorhombic
excess energy over the best structure of this formula in the dataset = 0 meV/atom

=====

Density functional theory data (PBE) for a geometry-optimized Th6Te2Os3Se structure.

a b c (Å): 4.175 8.982 9.901
angles (deg): 108.51 102.17 90.00
Positions (direct):
Os 0.167 0.837 0.333
Os 0.500 0.500 0.000
Os 0.833 0.163 0.667
Se 0.500 0.000 0.000
Te 0.167 0.336 0.335
Te 0.833 0.664 0.665
Th 0.674 0.055 0.348
Th 0.346 0.386 0.691
Th 0.989 0.271 0.978
Th 0.654 0.614 0.309
Th 0.326 0.945 0.652
Th 0.011 0.729 0.022

Output
crystal system = monoclinic
DFT total energy = -8.22 eV/atom

=====

Density functional theory data (PBE) for a geometry-optimized V2Cr8W structure.

a b c (Å): 2.867 6.494 7.820
angles (deg): 73.55 93.44 91.80
Positions (direct):
Cr 0.727 0.652 0.188
Cr 0.273 0.348 0.751
Cr 0.239 0.673 0.424
Cr 0.295 0.008 0.611
Cr 0.707 0.343 0.001
Cr 0.292 0.658 0.938
Cr 0.760 0.327 0.515
Cr 0.704 0.992 0.329
V 0.223 0.312 0.262
V 0.776 0.689 0.678
W 0.000 0.000 0.970

Output
formation energy from the elements = 20.63 kJ per mole of atoms
crystal system = triclinic

=====

Density functional theory data (PBE) for a geometry-optimized Ta2VH structure.

a b c (Å): 2.984 2.984 6.137
angles (deg): 90.00 90.00 90.00
Positions (direct):
Ta 0.000 0.000 0.775
Ta 0.000 0.000 0.225
V 0.500 0.500 0.500
H 0.500 0.500 0.000

Output
crystal system = tetragonal
excess energy over the best structure of this formula in the dataset = 83 meV/atom

=====

Density functional theory data (PBE) for a geometry-optimized Zr2VTe structure.

a b c (Å): 4.162 4.162 10.772
angles (deg): 78.86 78.86 90.00
Site moments in Bohr magnetons follow the coordinates.
Positions (direct):
Zr 0.626 0.125 0.250  -0.13
Zr 0.875 0.876 0.750  -0.13
Zr 0.124 0.625 0.250  -0.13
Zr 0.375 0.374 0.750  -0.13
V 0.500 0.500 0.000  2.08
V 0.250 0.750 0.500  2.08
Te 0.000 0.000 0.000  -0.03
Te 0.750 0.250 0.500  -0.03

Output
crystal system = tetragonal
DFT total energy = -7.07 eV/atom

=====

Density functional theory data (PBE) for a geometry-optimized RbCO2F structure.

a b c (Å): 3.402 3.402 5.614
angles (deg): 90.00 90.00 90.00
Site moments in Bohr magnetons follow the coordinates.
Positions (direct):
F 0.000 0.000 0.500  -0.01
O 0.500 0.000 0.000  0.17
O 0.000 0.500 0.000  0.17
C 0.000 0.000 0.000  0.01
Rb 0.500 0.500 0.500  0.00

Output
crystal system = tetragonal
DFT total energy = -4.34 eV/atom